Entry 1:
# PBE BaSbTe2Pb, relaxed
# - DOS(E_F) (states/eV/cell) = 6.90
# - ΔE_f (raw) (eV/atom) = 0.42
# - E (eV/atom) = -2.79
# - energy above the lowest structure with this stoichiometry (eV/atom) = 0.657
# - V (Å³ per atom) = 49.5
data_BaSbTe2Pb
_chemical_formula_sum 'Ba1 Sb1 Te2 Pb1'
_cell_length_a 6.3359
_cell_length_b 6.3359
_cell_length_c 6.1672
_cell_angle_alpha 90.00
_cell_angle_beta 90.00
_cell_angle_gamma 90.00
_space_group_name_H-M_alt 'P 4/m m m'
_space_group_IT_number 123
_space_group_name_Hall '-P 4 2'
loop_
_atom_site_label
_atom_site_type_symbol
_atom_site_fract_x
_atom_site_fract_y
_atom_site_fract_z
Ba1 Ba 0.0000 0.0000 0.0000
Sb1 Sb 0.0000 0.0000 0.5000
Te1 Te 0.0000 0.5000 0.0000
Pb1 Pb 0.5000 0.5000 0.5000


Entry 2:
# PBE BaSbTe2Pb, relaxed
# - DOS(E_F) (states/eV/cell) = 6.68
# - ΔE_f (raw) (eV/atom) = -0.24
# - E (eV/atom) = -3.44
# - energy above the lowest structure with this stoichiometry (eV/atom) = 0.000
# - V (Å³ per atom) = 41.2
data_BaSbTe2Pb
_chemical_formula_sum 'Ba1 Sb1 Te2 Pb1'
_cell_length_a 5.9738
_cell_length_b 5.9738
_cell_length_c 5.7682
_cell_angle_alpha 90.00
_cell_angle_beta 90.00
_cell_angle_gamma 90.00
_space_group_name_H-M_alt 'P 4/m m m'
_space_group_IT_number 123
_space_group_name_Hall '-P 4 2'
loop_
_atom_site_label
_atom_site_type_symbol
_atom_site_fract_x
_atom_site_fract_y
_atom_site_fract_z
Ba1 Ba 0.0000 0.0000 0.0000
Sb1 Sb 0.5000 0.5000 0.0000
Te1 Te 0.0000 0.5000 0.5000
Pb1 Pb 0.5000 0.5000 0.5000


Entry 3:
# PBE BaSb2TePb, relaxed
# - DOS(E_F) (states/eV/cell) = 5.24
# - ΔE_f (raw) (eV/atom) = 0.64
# - E (eV/atom) = -2.77
# - energy above the lowest structure with this stoichiometry (eV/atom) = 0.668
# - V (Å³ per atom) = 48.0
data_BaSb2TePb
_chemical_formula_sum 'Ba1 Sb2 Te1 Pb1'
_cell_length_a 6.1659
_cell_length_b 6.1659
_cell_length_c 6.3162
_cell_angle_alpha 90.00
_cell_angle_beta 90.00
_cell_angle_gamma 90.00
_space_group_name_H-M_alt 'P 4/m m m'
_space_group_IT_number 123
_space_group_name_Hall '-P 4 2'
loop_
_atom_site_label
_atom_site_type_symbol
_atom_site_fract_x
_atom_site_fract_y
_atom_site_fract_z
Ba1 Ba 0.0000 0.0000 0.0000
Sb1 Sb 0.0000 0.5000 0.0000
Te1 Te 0.0000 0.0000 0.5000
Pb1 Pb 0.5000 0.5000 0.5000


Entry 4:
# PBE BaSb2TePb, relaxed
# - DOS(E_F) (states/eV/cell) = 7.96
# - ΔE_f (raw) (eV/atom) = -0.03
# - E (eV/atom) = -3.43
# - energy above the lowest structure with this stoichiometry (eV/atom) = 0.000
# - V (Å³ per atom) = 40.9
data_BaSb2TePb
_chemical_formula_sum 'Ba1 Sb2 Te1 Pb1'
_cell_length_a 5.8210
_cell_length_b 5.8210
_cell_length_c 6.0314
_cell_angle_alpha 90.00
_cell_angle_beta 90.00
_cell_angle_gamma 90.00
_space_group_name_H-M_alt 'P 4/m m m'
_space_group_IT_number 123
_space_group_name_Hall '-P 4 2'
loop_
_atom_site_label
_atom_site_type_symbol
_atom_site_fract_x
_atom_site_fract_y
_atom_site_fract_z
Ba1 Ba 0.0000 0.0000 0.0000
Sb1 Sb 0.0000 0.5000 0.5000
Te1 Te 0.5000 0.5000 0.0000
Pb1 Pb 0.5000 0.5000 0.5000


Entry 5:
# PBE BaSbTe4Pb2, relaxed
# - DOS(E_F) (states/eV/cell) = 14.77
# - ΔE_f (raw) (eV/atom) = -0.56
# - E (eV/atom) = -3.82
# - V (Å³ per atom) = 36.8
data_BaSbTe4Pb2
_chemical_formula_sum 'Ba4 Sb4 Te16 Pb8'
_cell_length_a 9.3318
_cell_length_b 9.4921
_cell_length_c 13.2861
_cell_angle_alpha 90.00
_cell_angle_beta 90.00
_cell_angle_gamma 90.00
_space_group_name_H-M_alt 'I m m a'
_space_group_IT_number 74
_space_group_name_Hall '-I 2b 2'
loop_
_atom_site_label
_atom_site_type_symbol
_atom_site_fract_x
_atom_site_fract_y
_atom_site_fract_z
Ba1 Ba 0.2500 0.2500 0.2500
Sb1 Sb 0.0000 0.0000 0.0000
Te1 Te 0.0000 0.0129 0.7561
Te2 Te 0.2380 0.2500 0.9932
Pb1 Pb 0.0000 0.0000 0.5000
Pb2 Pb 0.2500 0.2500 0.7500


Entry 6:
# PBE Ba2TlSbPb, relaxed
# - DOS(E_F) (states/eV/cell) = 3.94
# - ΔE_f (raw) (eV/atom) = -0.03
# - E (eV/atom) = -2.84
# - V (Å³ per atom) = 47.9
data_Ba2TlSbPb
_chemical_formula_sum 'Ba2 Tl1 Sb1 Pb1'
_cell_length_a 6.5801
_cell_length_b 6.5801
_cell_length_c 5.5293
_cell_angle_alpha 90.00
_cell_angle_beta 90.00
_cell_angle_gamma 90.00
_space_group_name_H-M_alt 'P 4/m m m'
_space_group_IT_number 123
_space_group_name_Hall '-P 4 2'
loop_
_atom_site_label
_atom_site_type_symbol
_atom_site_fract_x
_atom_site_fract_y
_atom_site_fract_z
Ba1 Ba 0.0000 0.5000 0.0000
Tl1 Tl 0.0000 0.0000 0.0000
Sb1 Sb 0.5000 0.5000 0.5000
Pb1 Pb 0.0000 0.0000 0.5000


Entry 7:
# PBE BaTlSb2Pb, relaxed
# - DOS(E_F) (states/eV/cell) = 5.28
# - ΔE_f (raw) (eV/atom) = -0.40
# - E (eV/atom) = -3.64
# - V (Å³ per atom) = 38.1
data_BaTlSb2Pb
_chemical_formula_sum 'Ba4 Tl4 Sb8 Pb4'
_cell_length_a 17.6516
_cell_length_b 5.3410
_cell_length_c 9.5539
_cell_angle_alpha 90.00
_cell_angle_beta 122.31
_cell_angle_gamma 90.00
_space_group_name_H-M_alt 'C 1 2/m 1'
_space_group_IT_number 12
_space_group_name_Hall '-C 2y'
loop_
_atom_site_label
_atom_site_type_symbol
_atom_site_fract_x
_atom_site_fract_y
_atom_site_fract_z
Ba1 Ba 0.2488 0.0000 0.2387
Tl1 Tl 0.0726 0.0000 0.7359
Sb1 Sb 0.1203 0.5000 0.9504
Sb2 Sb 0.1339 0.0000 0.4734
Pb1 Pb 0.0839 0.5000 0.2507


Entry 8:
# PBE BaTlSbPb, relaxed
# - DOS(E_F) (states/eV/cell) = 10.80
# - ΔE_f (raw) (eV/atom) = -0.35
# - E (eV/atom) = -3.38
# - V (Å³ per atom) = 34.2
data_BaTlSbPb
_chemical_formula_sum 'Ba4 Tl4 Sb4 Pb4'
_cell_length_a 8.1761
_cell_length_b 8.1761
_cell_length_c 8.1761
_cell_angle_alpha 90.00
_cell_angle_beta 90.00
_cell_angle_gamma 90.00
_space_group_name_H-M_alt 'F -4 3 m'
_space_group_IT_number 216
_space_group_name_Hall 'F -4 2 3'
loop_
_atom_site_label
_atom_site_type_symbol
_atom_site_fract_x
_atom_site_fract_y
_atom_site_fract_z
Ba1 Ba 0.0000 0.0000 0.0000
Tl1 Tl 0.2500 0.2500 0.7500
Sb1 Sb 0.2500 0.2500 0.2500
Pb1 Pb 0.0000 0.0000 0.5000


Q: The highest ΔE_f (raw) belongs to which entry?
A: number 3